# 1
Compound: NpReOs
Source: Alexandria via LeMat-Bulk
Functional: GGA-PBE
Structure: relaxed

Values from the calculation:
* N(E_F): 8.065 states/eV per cell

abc: 5.915 3.839 34.115
angles: 136.95 167.56 49.61
Fractional coordinates of all 6 atoms:
Re 0.014 0.081 0.053
Np 0.750 0.098 0.400
Os 0.407 0.100 0.731
Re 0.986 0.919 0.947
Os 0.593 0.900 0.269
Np 0.250 0.902 0.600


# 2
Compound: NpReOs2
Source: Alexandria via LeMat-Bulk
Functional: GGA-PBE
Structure: relaxed

Values from the calculation:
* N(E_F): 4.833 states/eV per cell
* polymorph energy (0 for the lowest one): 0 meV/atom

abc: 3.990 4.028 4.028
angles: 90.00 90.00 90.00
Fractional coordinates of all 4 atoms:
Os 0.000 0.500 0.000
Os 0.000 0.000 0.500
Np 0.500 0.000 0.000
Re 0.500 0.500 0.500


# 3
Compound: NpUReOs
Source: Alexandria via LeMat-Bulk
Functional: GGA-PBE
Structure: relaxed

Values from the calculation:
* N(E_F): 6.734 states/eV per cell

abc: 4.630 4.630 4.630
angles: 60.00 60.00 60.00
Fractional coordinates of all 4 atoms:
Re 0.250 0.250 0.250
Np 0.750 0.750 0.750
U 0.500 0.500 0.500
Os 0.000 0.000 0.000


# 4
Compound: NpOs2Rh
Source: Alexandria via LeMat-Bulk
Functional: GGA-PBE
Structure: relaxed

Values from the calculation:
* N(E_F): 3.585 states/eV per cell

abc: 3.953 4.030 4.030
angles: 90.00 90.00 90.00
Fractional coordinates of all 4 atoms:
Np 0.500 0.000 0.000
Rh 0.500 0.500 0.500
Os 0.000 0.500 0.000
Os 0.000 0.000 0.500


# 5
Compound: Np2OsRh
Source: Alexandria via LeMat-Bulk
Functional: GGA-PBE
Structure: relaxed

Values from the calculation:
* N(E_F): 7.321 states/eV per cell
* polymorph energy (0 for the lowest one): 7 meV/atom

abc: 4.797 4.797 4.797
angles: 60.00 60.00 60.00
Fractional coordinates of all 4 atoms:
Np 0.250 0.250 0.250
Os 0.000 0.000 0.000
Np 0.750 0.750 0.750
Rh 0.500 0.500 0.500


# 6
Compound: Np2OsRh
Source: Alexandria via LeMat-Bulk
Functional: GGA-PBE
Structure: relaxed

Values from the calculation:
* N(E_F): 7.780 states/eV per cell
* polymorph energy (0 for the lowest one): 304 meV/atom

abc: 2.852 2.852 10.293
angles: 82.04 82.04 60.00
Fractional coordinates of all 4 atoms:
Rh 0.000 0.000 0.000
Os 0.500 0.500 0.500
Np 0.086 0.086 0.743
Np 0.914 0.914 0.257


| no. | final energy (eV per cell) |
| --- | --- |
| 1 | -71.49 |
| 2 | -47.39 |
| 3 | -47.62 |
| 4 | -43.09 |
| 5 | -44.54 |
| 6 | -43.35 |